1.
Computed, not measured: crystalline Pm2AlZn3Au4 at its relaxed geometry at the PBE level of DFT.

Properties
Total moment ... 0.0 μB per formula unit
Energy relative to the elements ... -561 meV per atom
Space-group type ... No. 115
Total DFT energy (no corrections) ... -3.579 eV per atom

a = 4.2089 Å, b = 4.2089 Å, c = 11.5125 Å
α = 90.00°, β = 90.00°, γ = 90.00°
With the nearest neighbours (Å) after each atom.
Fractional coordinates of all 10 atoms:
1 Au 0.0000 0.5000 0.3604  3 Zn 2.56-2.65, 2 Al 2.65
2 Zn 0.0000 0.5000 0.1383  5 Au 2.56-2.64
3 Au 0.5000 0.5000 0.0000  4 Zn 2.64
4 Pm 0.5000 0.0000 0.2454  6 Zn 3.22-3.61, 8 Au 3.26-3.52, 2 Al 3.61
5 Au 0.0000 0.0000 0.0000  4 Zn 2.64
6 Al 0.5000 0.5000 0.5000  4 Au 2.65
7 Zn 0.0000 0.0000 0.5000  4 Au 2.65
8 Pm 0.0000 0.5000 0.7546  6 Zn 3.22-3.61, 8 Au 3.26-3.52, 2 Al 3.61
9 Au 0.5000 0.0000 0.6396  3 Zn 2.56-2.65, 2 Al 2.65
10 Zn 0.5000 0.0000 0.8617  5 Au 2.56-2.64

2.
Computed, not measured: crystalline ZrFeH at its relaxed geometry at the PBE level of DFT.

Properties
Total moment ... 0.0 μB per formula unit
Space-group type ... No. 12
Total DFT energy (no corrections) ... -7.038 eV per atom

a = 3.6316 Å, b = 3.6328 Å, c = 7.8613 Å
α = 117.42°, β = 90.00°, γ = 119.99°
With the nearest neighbours (Å) after each atom.
Fractional coordinates of all 6 atoms:
1 H 0.4003 0.8006 0.1000  4 Zr 2.08-2.23
2 H 0.5997 0.1994 0.9000  4 Zr 2.08-2.23
3 Fe 0.3265 0.6530 0.4896  3 Fe 2.10
4 Zr 0.1911 0.3822 0.7871  4 H 2.08-2.23
5 Fe 0.6735 0.3470 0.5104  3 Fe 2.10
6 Zr 0.8089 0.6178 0.2129  4 H 2.08-2.23